# Sc3FeAs PBE-GGA relaxed
# Energy: -6.57 eV per atom
# Energy of formation from the pure elements: -0.149 eV/atom
data_Sc3FeAs
_space_group_name_H-M_alt 'P m -3 m'
_space_group_IT_number 221
_space_group_name_Hall '-P 4 2 3'
_cell_length_a 4.728
_cell_length_b 4.728
_cell_length_c 4.728
_cell_angle_alpha 90.00
_cell_angle_beta 90.00
_cell_angle_gamma 90.00
loop_
_atom_site_label
_atom_site_type_symbol
_atom_site_fract_x
_atom_site_fract_y
_atom_site_fract_z
_atom_site_occupancy
Sc1 Sc 0.000 0.000 0.500 1
Fe1 Fe 0.000 0.000 0.000 1
As1 As 0.500 0.500 0.500 1

---

# Pr2Dy3ErTe6 PBE-GGA relaxed
# Energy: -5.22 eV per atom
# Formation energy without anion corrections: -1323 meV/atom
data_Pr2Dy3ErTe6
_space_group_name_H-M_alt 'C 1 2/m 1'
_space_group_IT_number 12
_cell_length_a 19.268
_cell_length_b 4.368
_cell_length_c 8.882
_cell_angle_alpha 90.00
_cell_angle_beta 103.20
_cell_angle_gamma 90.00
loop_
_space_group_symop_operation_xyz
'x,y,z'
'-x,-y,-z'
'-x,y,-z'
'x,-y,z'
'x+1/2,y+1/2,z'
'-x+1/2,-y+1/2,-z'
'-x+1/2,y+1/2,-z'
'x+1/2,-y+1/2,z'
loop_
_atom_site_label
_atom_site_type_symbol
_atom_site_fract_x
_atom_site_fract_y
_atom_site_fract_z
_atom_site_occupancy
Pr1 Pr 0.171 0.000 0.338 1
Dy1 Dy 0.000 0.500 0.500 1
Dy2 Dy 0.175 0.000 0.836 1
Er1 Er 0.000 0.500 0.000 1
Te1 Te 0.005 0.000 0.755 1
Te2 Te 0.161 0.500 0.591 1
Te3 Te 0.162 0.500 0.071 1